Computed, not measured: an optimized crystal structure of Mg2TcIr at the GGA-PBE level of DFT.

Cell and atoms, written as POSCAR:
```
Mg2TcIr
1.0
-1.9365 1.9365 4.2364
1.9365 -1.9365 4.2364
1.9365 1.9365 -4.2364
Mg Tc Ir
2 1 1
Direct
0.2500 0.7500 0.5000
0.7500 0.2500 0.5000
0.0000 0.0000 0.0000
0.5000 0.5000 0.0000
```

Results
The crystal system is tetragonal. Its formation energy is 103 meV per atom. As for the size of the total moment: 0.0034 μB/atom. As for the distance to the lowest polymorph of the same formula: 227 meV/atom.